Record 1
An optimized crystal structure of Ac4Nd8Er. Source: Alexandria, functional GGA-PBE.

Lattice parameters (Å, degrees): 8.195 8.195 8.195 90.11 90.11 90.11
Element x y z (fractional)
Ac (0.000, 0.000, 0.000)
Ac (0.000, 0.500, 0.500)
Ac (0.500, 0.000, 0.500)
Ac (0.500, 0.500, 0.000)
Nd (0.242, 0.242, 0.242)
Nd (0.242, 0.242, 0.757)
Nd (0.242, 0.757, 0.242)
Nd (0.243, 0.758, 0.758)
Nd (0.757, 0.242, 0.242)
Nd (0.758, 0.243, 0.758)
Nd (0.758, 0.758, 0.243)
Nd (0.758, 0.758, 0.758)
Er (0.500, 0.500, 0.500)

Summary:
Symmetry = No. 166
Crystal system = trigonal
Calculated volume = 550.5 Å³/cell
ΔH_f (0 K) = 49.46 kJ per mole of atoms
Mass density = 6.7 g/cm3
Energy = -4.037 eV/atom



Record 2
An optimized crystal structure of Ga5Te3O12. Source: Alexandria, functional GGA-PBE.

Lattice parameters (Å, degrees): 11.031 11.031 11.031 109.47 109.47 109.47
Element x y z (fractional)
Ga (0.000, 0.000, 0.000)
Ga (0.000, 0.000, 0.500)
Ga (0.000, 0.500, 0.000)
Ga (0.000, 0.500, 0.500)
Ga (0.125, 0.750, 0.875)
Ga (0.125, 0.875, 0.250)
Ga (0.250, 0.125, 0.875)
Ga (0.250, 0.625, 0.375)
Ga (0.375, 0.250, 0.625)
Ga (0.375, 0.625, 0.750)
Ga (0.500, 0.000, 0.000)
Ga (0.500, 0.000, 0.500)
Ga (0.500, 0.500, 0.000)
Ga (0.500, 0.500, 0.500)
Ga (0.625, 0.375, 0.250)
Ga (0.625, 0.750, 0.375)
Ga (0.750, 0.375, 0.625)
Ga (0.750, 0.875, 0.125)
Ga (0.875, 0.125, 0.750)
Ga (0.875, 0.250, 0.125)
Te (0.125, 0.250, 0.375)
Te (0.125, 0.375, 0.750)
Te (0.250, 0.375, 0.125)
Te (0.250, 0.875, 0.625)
Te (0.375, 0.125, 0.250)
Te (0.375, 0.750, 0.125)
Te (0.625, 0.250, 0.875)
Te (0.625, 0.875, 0.750)
Te (0.750, 0.125, 0.375)
Te (0.750, 0.625, 0.875)
Te (0.875, 0.625, 0.250)
Te (0.875, 0.750, 0.625)
O (0.018, 0.191, 0.132)
O (0.018, 0.327, 0.886)
O (0.059, 0.691, 0.673)
O (0.059, 0.868, 0.386)
O (0.114, 0.632, 0.441)
O (0.114, 0.982, 0.673)
O (0.132, 0.018, 0.191)
O (0.132, 0.614, 0.941)
O (0.173, 0.191, 0.559)
O (0.173, 0.482, 0.614)
O (0.191, 0.132, 0.018)
O (0.191, 0.559, 0.173)
O (0.309, 0.327, 0.941)
O (0.309, 0.482, 0.368)
O (0.327, 0.886, 0.018)
O (0.327, 0.941, 0.309)
O (0.368, 0.309, 0.482)
O (0.368, 0.559, 0.886)
O (0.386, 0.059, 0.868)
O (0.386, 0.827, 0.518)
O (0.441, 0.114, 0.632)
O (0.441, 0.827, 0.809)
O (0.482, 0.368, 0.309)
O (0.482, 0.614, 0.173)
O (0.518, 0.386, 0.827)
O (0.518, 0.632, 0.691)
O (0.559, 0.173, 0.191)
O (0.559, 0.886, 0.368)
O (0.614, 0.173, 0.482)
O (0.614, 0.941, 0.132)
O (0.632, 0.441, 0.114)
O (0.632, 0.691, 0.518)
O (0.673, 0.059, 0.691)
O (0.673, 0.114, 0.982)
O (0.691, 0.518, 0.632)
O (0.691, 0.673, 0.059)
O (0.809, 0.441, 0.827)
O (0.809, 0.868, 0.982)
O (0.827, 0.518, 0.386)
O (0.827, 0.809, 0.441)
O (0.868, 0.386, 0.059)
O (0.868, 0.982, 0.809)
O (0.886, 0.018, 0.327)
O (0.886, 0.368, 0.559)
O (0.941, 0.132, 0.614)
O (0.941, 0.309, 0.327)
O (0.982, 0.673, 0.114)
O (0.982, 0.809, 0.868)

Summary:
Symmetry = No. 230
Crystal system = cubic
Calculated volume = 1033.2 Å³/cell
Formation energy without anion corrections = -1.2310 eV/atom
Mass density = 5.9 g/cm3
Energy = -5.434 eV/atom



Record 3
An optimized crystal structure of CrPd9Pb2. Source: Alexandria, functional GGA-PBE.

Lattice parameters (Å, degrees): 4.058 4.058 12.054 90.00 90.00 90.00
Element x y z (fractional)
Cr (0.000, 0.000, 0.000)
Pd (0.000, 0.500, 0.155)
Pd (0.000, 0.500, 0.500)
Pd (0.000, 0.500, 0.845)
Pd (0.500, 0.000, 0.155)
Pd (0.500, 0.000, 0.500)
Pd (0.500, 0.000, 0.845)
Pd (0.500, 0.500, 0.000)
Pd (0.500, 0.500, 0.328)
Pd (0.500, 0.500, 0.672)
Pb (0.000, 0.000, 0.327)
Pb (0.000, 0.000, 0.673)

Summary:
Symmetry = No. 123
Crystal system = tetragonal
Calculated volume = 198.5 Å³/cell
ΔH_f (0 K) = -19.32 kJ per mole of atoms
Mass density = 11.9 g/cm3
Energy = -5.515 eV/atom